Here is a relaxed BaTl2Fe3F12 crystal from Alexandria. Energies are from GGA+U.

Computed properties:
Total DFT energy (no corrections) ... -5.13 eV per atom

a b c (Å): 7.380 7.380 7.380
angles (deg): 63.16 63.16 63.16
Each line ends with the local moment (μB).
Sites, in units of the cell vectors:
F 0.868 0.868 0.436  0.07
F 0.732 0.096 0.732  0.09
F 0.436 0.868 0.868  0.07
F 0.132 0.132 0.564  0.07
F 0.732 0.732 0.096  0.09
F 0.904 0.268 0.268  0.09
F 0.132 0.564 0.132  0.07
F 0.268 0.904 0.268  0.09
F 0.268 0.268 0.904  0.09
F 0.868 0.436 0.868  0.07
F 0.096 0.732 0.732  0.09
F 0.564 0.132 0.132  0.07
Tl 0.623 0.623 0.623  0.01
Tl 0.377 0.377 0.377  0.01
Ba 0.000 0.000 0.000  0.00
Fe 0.000 0.500 0.000  4.29
Fe 0.500 0.000 0.000  4.29
Fe 0.000 0.000 0.500  4.29